*A*
Material: TeIrSeN2
Method: DFT, PBE
State: relaxed

a = 3.8412 Å, b = 3.8412 Å, c = 6.1188 Å
α = 90.00°, β = 90.00°, γ = 90.00°
Last column: magnetic moment on the atom in μB.
Element x y z (fractional)
Ir  0.0000  0.0000  0.0000  -0.02
Te  0.0000  0.0000  0.5000  0.00
Se  0.5000  0.5000  0.5000  0.00
N  0.0000  0.5000  0.0000  0.13
N  0.5000  0.0000  0.0000  0.13

Properties
N(E_F): 1.60 states/eV/f.u.
Spin magnetization: 0.34 μB/f.u.

*B*
Material: TeIrSeN2
Method: DFT, PBE
State: relaxed

a = 3.8030 Å, b = 3.8030 Å, c = 8.0637 Å
α = 90.00°, β = 90.00°, γ = 90.00°
Element x y z (fractional)
Ir  0.0000  0.0000  0.0000
Te  0.5000  0.5000  0.5000
Se  0.0000  0.0000  0.5000
N  0.0000  0.5000  0.0000
N  0.5000  0.0000  0.0000

Properties
N(E_F): 3.97 states/eV/f.u.
Spin magnetization: 0.00 μB/f.u.

*C*
Material: TeIrSeN2
Method: DFT, PBE
State: relaxed

a = 3.8456 Å, b = 3.8456 Å, c = 6.2322 Å
α = 90.00°, β = 90.00°, γ = 90.00°
Last column: magnetic moment on the atom in μB.
Element x y z (fractional)
Ir  0.5000  0.5000  0.5000  1.09
Te  0.0000  0.0000  0.0000  0.01
Se  0.0000  0.0000  0.5000  0.06
N  0.0000  0.5000  0.0000  0.08
N  0.5000  0.0000  0.0000  0.08

Properties
N(E_F): 4.08 states/eV/f.u.
Spin magnetization: 1.53 μB/f.u.

*D*
Material: TeIrSeN2
Method: DFT, PBE
State: relaxed

a = 3.7220 Å, b = 3.7220 Å, c = 8.4994 Å
α = 90.00°, β = 90.00°, γ = 90.00°
Element x y z (fractional)
Ir  0.5000  0.5000  0.5000
Te  0.0000  0.0000  0.5000
Se  0.0000  0.0000  0.0000
N  0.0000  0.5000  0.0000
N  0.5000  0.0000  0.0000

Properties
N(E_F): 3.53 states/eV/f.u.
Spin magnetization: 0.00 μB/f.u.

Stability ranking, top and bottom: *A* is the most stable and *C* is the least stable.

*A*
Material: TiIrSe2N
Method: DFT, PBE
State: relaxed

a = 5.0225 Å, b = 5.0225 Å, c = 3.5839 Å
α = 90.00°, β = 90.00°, γ = 90.00°
Element x y z (fractional)
N  0.0000  0.0000  0.5000
Ir  0.5000  0.5000  0.5000
Se  0.0000  0.5000  0.0000
Se  0.5000  0.0000  0.0000
Ti  0.0000  0.0000  0.0000

Properties
N(E_F): 4.23 states/eV/f.u.
Spin magnetization: 0.00 μB/f.u.

*B*
Material: TiIrSe2N
Method: DFT, PBE
State: relaxed

a = 5.1022 Å, b = 5.1022 Å, c = 3.6452 Å
α = 90.00°, β = 90.00°, γ = 90.00°
Last column: magnetic moment on the atom in μB.
Element x y z (fractional)
N  0.0000  0.0000  0.5000  -0.01
Ir  0.0000  0.0000  0.0000  -0.02
Se  0.0000  0.5000  0.0000  -0.02
Se  0.5000  0.0000  0.0000  -0.02
Ti  0.5000  0.5000  0.5000  0.10

Properties
N(E_F): 9.17 states/eV/f.u.
Spin magnetization: 0.01 μB/f.u.

Stability ranking, top and bottom: *B* is the most stable and *A* is the least stable.

*A*
Material: TlIrSe2N
Method: DFT, PBE
State: relaxed

a = 5.3154 Å, b = 5.3154 Å, c = 3.6835 Å
α = 90.00°, β = 90.00°, γ = 90.00°
Element x y z (fractional)
Tl  0.5000  0.5000  0.5000
Ir  0.0000  0.0000  0.0000
Se  0.0000  0.5000  0.0000
Se  0.5000  0.0000  0.0000
N  0.0000  0.0000  0.5000

Properties
N(E_F): 2.34 states/eV/f.u.
Spin magnetization: 0.00 μB/f.u.

*B*
Material: TlIrSe2N
Method: DFT, PBE
State: relaxed

a = 5.3655 Å, b = 5.3655 Å, c = 4.0430 Å
α = 90.00°, β = 90.00°, γ = 90.00°
Last column: magnetic moment on the atom in μB.
Element x y z (fractional)
Tl  0.0000  0.0000  0.0000  0.03
Ir  0.5000  0.5000  0.5000  0.85
Se  0.0000  0.5000  0.0000  0.15
Se  0.5000  0.0000  0.0000  0.15
N  0.0000  0.0000  0.5000  0.97

Properties
N(E_F): 5.99 states/eV/f.u.
Spin magnetization: 2.72 μB/f.u.

Stability ranking, top and bottom: *A* is the most stable and *B* is the least stable.

*A*
Material: VIrSe2N
Method: DFT, PBE
State: relaxed

a = 5.0922 Å, b = 5.0922 Å, c = 3.6408 Å
α = 90.00°, β = 90.00°, γ = 90.00°
Last column: magnetic moment on the atom in μB.
Element x y z (fractional)
N  0.0000  0.0000  0.5000  -0.01
Ir  0.0000  0.0000  0.0000  0.01
Se  0.0000  0.5000  0.0000  0.00
Se  0.5000  0.0000  0.0000  0.00
V  0.5000  0.5000  0.5000  -0.09

Properties
N(E_F): 5.28 states/eV/f.u.
Spin magnetization: 0.12 μB/f.u.

*B*
Material: VIrSe2N
Method: DFT, PBE
State: relaxed

a = 4.8909 Å, b = 4.8909 Å, c = 3.5193 Å
α = 90.00°, β = 90.00°, γ = 90.00°
Element x y z (fractional)
N  0.0000  0.0000  0.5000
Ir  0.5000  0.5000  0.5000
Se  0.0000  0.5000  0.0000
Se  0.5000  0.0000  0.0000
V  0.0000  0.0000  0.0000

Properties
N(E_F): 3.63 states/eV/f.u.
Spin magnetization: 0.00 μB/f.u.

Stability ranking, top and bottom: *B* is the most stable and *A* is the least stable.